Here is crystalline SrLa2P at its relaxed geometry from Alexandria via LeMat-Bulk. Energies are from PBEsol.

Lattice parameters (Å, degrees): 10.718 10.718 10.718 21.87 21.87 21.87
Atoms (fractional coordinates):
Sr 0.000 0.000 0.000
La 0.219 0.219 0.219
La 0.781 0.781 0.781
P 0.500 0.500 0.500

For the density of states at the Fermi level, the calculation gives 4.9 states/eV/cell. Its volume is 150 Å³ per cell. The formation enthalpy at 0 K comes out at -0.70 eV per atom.

---

Here is crystalline LaTaP2 at its relaxed geometry from Alexandria via LeMat-Bulk. Energies are from PBEsol.

Lattice parameters (Å, degrees): 5.085 5.085 5.085 135.86 113.63 83.20
Atoms (fractional coordinates):
La 0.000 0.000 0.000
Ta 0.500 0.500 0.000
P 0.287 0.787 0.500
P 0.713 0.213 0.500

For the density of states at the Fermi level, the calculation gives 2.7 states/eV/cell. Its volume is 81 Å³ per cell. The energy relative to the lowest polymorph listed for this composition comes out at 0.0 meV per atom. The formation enthalpy at 0 K comes out at -0.62 eV per atom.

---

Here is crystalline La2TaP at its relaxed geometry from Alexandria via LeMat-Bulk. Energies are from PBEsol.

Lattice parameters (Å, degrees): 3.774 3.774 6.785 90.00 90.00 90.00
Atoms (fractional coordinates):
La 0.000 0.000 0.223
La 0.000 0.000 0.777
Ta 0.500 0.500 0.500
P 0.500 0.500 0.000

For the density of states at the Fermi level, the calculation gives 4.6 states/eV/cell. Its volume is 97 Å³ per cell. The formation enthalpy at 0 K comes out at -0.09 eV per atom.

---

Here is crystalline La2TaP at its relaxed geometry from Alexandria via LeMat-Bulk. Energies are from PBEsol.

Lattice parameters (Å, degrees): 9.126 9.126 9.126 23.26 23.26 23.26
Atoms (fractional coordinates):
La 0.238 0.238 0.238
La 0.762 0.762 0.762
Ta 0.000 0.000 0.000
P 0.500 0.500 0.500

For the density of states at the Fermi level, the calculation gives 4.5 states/eV/cell. Its volume is 104 Å³ per cell. The formation enthalpy at 0 K comes out at 0.02 eV per atom.

---

Here is crystalline LaTaP2 at its relaxed geometry from Alexandria via LeMat-Bulk. Energies are from PBEsol.

Lattice parameters (Å, degrees): 4.675 4.675 4.675 60.00 60.00 60.00
Atoms (fractional coordinates):
La 0.000 0.000 0.000
Ta 0.250 0.250 0.250
P 0.500 0.500 0.500
P 0.750 0.750 0.750

For the density of states at the Fermi level, the calculation gives 4.3 states/eV/cell. Its volume is 72 Å³ per cell. The energy relative to the lowest polymorph listed for this composition comes out at 859.9 meV per atom. The formation enthalpy at 0 K comes out at 0.24 eV per atom.

---

Here is crystalline LaTaP2 at its relaxed geometry from Alexandria via LeMat-Bulk. Energies are from PBEsol.

Lattice parameters (Å, degrees): 7.327 7.327 7.327 131.73 131.73 70.65
Atoms (fractional coordinates):
La 0.000 0.000 0.000
La 0.750 0.250 0.500
Ta 0.250 0.750 0.500
Ta 0.500 0.500 0.000
P 0.192 0.625 0.067
P 0.375 0.442 0.567
P 0.558 0.125 0.933
P 0.875 0.808 0.433

For the density of states at the Fermi level, the calculation gives 7.6 states/eV/cell. Its volume is 215 Å³ per cell. The energy relative to the lowest polymorph listed for this composition comes out at 188.0 meV per atom. The formation enthalpy at 0 K comes out at -0.43 eV per atom.

---

Here is crystalline LaTcP at its relaxed geometry from Alexandria via LeMat-Bulk. Energies are from PBEsol.

Lattice parameters (Å, degrees): 4.043 4.043 4.339 90.00 90.00 120.00
Atoms (fractional coordinates):
La 0.000 0.000 0.000
Tc 0.333 0.667 0.500
P 0.667 0.333 0.500

For the density of states at the Fermi level, the calculation gives 3.2 states/eV/cell. Its volume is 61 Å³ per cell. The energy relative to the lowest polymorph listed for this composition comes out at 0.0 meV per atom. The formation enthalpy at 0 K comes out at -0.67 eV per atom.

---

Here is crystalline LaTcP at its relaxed geometry from Alexandria via LeMat-Bulk. Energies are from PBEsol.

Lattice parameters (Å, degrees): 5.907 5.907 5.907 149.00 149.00 44.41
Atoms (fractional coordinates):
La 0.000 0.000 0.000
Tc 0.293 0.293 0.000
P 0.704 0.704 0.000

For the density of states at the Fermi level, the calculation gives 2.6 states/eV/cell. Its volume is 55 Å³ per cell. The energy relative to the lowest polymorph listed for this composition comes out at 84.5 meV per atom. The formation enthalpy at 0 K comes out at -0.59 eV per atom.

---

Here is crystalline La2TcP at its relaxed geometry from Alexandria via LeMat-Bulk. Energies are from PBEsol.

Lattice parameters (Å, degrees): 4.206 5.602 5.602 44.34 90.00 90.00
Atoms (fractional coordinates):
La 0.000 0.000 0.000
La 0.500 0.281 0.281
Tc 0.500 0.579 0.579
P 0.000 0.701 0.701

For the density of states at the Fermi level, the calculation gives 3.2 states/eV/cell. Its volume is 92 Å³ per cell. The formation enthalpy at 0 K comes out at -0.63 eV per atom.

---

Here is crystalline La2TcP2 at its relaxed geometry from Alexandria via LeMat-Bulk. Energies are from PBEsol.

Lattice parameters (Å, degrees): 6.454 6.454 4.661 90.00 90.00 90.00
Atoms (fractional coordinates):
La 0.180 0.320 0.000
La 0.320 0.820 0.000
La 0.680 0.180 0.000
La 0.820 0.680 0.000
Tc 0.000 0.000 0.500
Tc 0.500 0.500 0.500
P 0.132 0.632 0.500
P 0.368 0.132 0.500
P 0.632 0.868 0.500
P 0.868 0.368 0.500

For the density of states at the Fermi level, the calculation gives 7.2 states/eV/cell. Its volume is 194 Å³ per cell. The formation enthalpy at 0 K comes out at -0.94 eV per atom.

---

Here is crystalline La2TcP at its relaxed geometry from Alexandria via LeMat-Bulk. Energies are from PBEsol.

Lattice parameters (Å, degrees): 4.854 4.854 4.854 60.00 60.00 60.00
Atoms (fractional coordinates):
La 0.000 0.000 0.000
La 0.250 0.250 0.250
Tc 0.500 0.500 0.500
P 0.750 0.750 0.750

For the density of states at the Fermi level, the calculation gives 2.2 states/eV/cell. Its volume is 81 Å³ per cell. The formation enthalpy at 0 K comes out at -0.11 eV per atom.

---

Here is crystalline La2TcP at its relaxed geometry from Alexandria via LeMat-Bulk. Energies are from PBEsol.

Lattice parameters (Å, degrees): 6.578 6.578 6.578 147.96 141.44 50.98
Atoms (fractional coordinates):
La 0.000 0.000 0.000
La 0.738 0.238 0.500
Tc 0.454 0.454 0.000
P 0.324 0.824 0.500

For the density of states at the Fermi level, the calculation gives 3.2 states/eV/cell. Its volume is 94 Å³ per cell. The formation enthalpy at 0 K comes out at -0.55 eV per atom.

---

Here is crystalline La2TcP at its relaxed geometry from Alexandria via LeMat-Bulk. Energies are from PBEsol.

Lattice parameters (Å, degrees): 3.180 3.180 8.849 90.00 90.00 90.00
Atoms (fractional coordinates):
La 0.000 0.000 0.000
La 0.500 0.500 0.396
Tc 0.500 0.500 0.748
P 0.000 0.000 0.638

For the density of states at the Fermi level, the calculation gives 3.4 states/eV/cell. Its volume is 89 Å³ per cell. The formation enthalpy at 0 K comes out at -0.36 eV per atom.

---

Here is crystalline La2TcP at its relaxed geometry from Alexandria via LeMat-Bulk. Energies are from PBEsol.

Lattice parameters (Å, degrees): 7.691 7.691 7.691 31.19 31.19 31.19
Atoms (fractional coordinates):
La 0.000 0.000 0.000
La 0.169 0.169 0.169
Tc 0.752 0.752 0.752
P 0.418 0.418 0.418

For the density of states at the Fermi level, the calculation gives 3.9 states/eV/cell. Its volume is 108 Å³ per cell. The formation enthalpy at 0 K comes out at -0.59 eV per atom.

---

Here is crystalline LaTc2P2 at its relaxed geometry from Alexandria via LeMat-Bulk. Energies are from PBEsol.

Lattice parameters (Å, degrees): 5.437 5.437 5.437 132.20 132.20 69.91
Atoms (fractional coordinates):
La 0.000 0.000 0.000
Tc 0.371 0.371 0.000
Tc 0.629 0.629 0.000
P 0.250 0.750 0.500
P 0.750 0.250 0.500

For the density of states at the Fermi level, the calculation gives 3.6 states/eV/cell. Its volume is 86 Å³ per cell. The formation enthalpy at 0 K comes out at -0.68 eV per atom.

---

Here is crystalline LaTcP3 at its relaxed geometry from Alexandria via LeMat-Bulk. Energies are from PBEsol.

Lattice parameters (Å, degrees): 4.616 4.616 4.616 90.00 90.00 90.00
Atoms (fractional coordinates):
La 0.000 0.000 0.000
Tc 0.500 0.500 0.500
P 0.000 0.500 0.500
P 0.500 0.000 0.500
P 0.500 0.500 0.000

For the density of states at the Fermi level, the calculation gives 4.9 states/eV/cell. Its volume is 98 Å³ per cell. The formation enthalpy at 0 K comes out at -0.36 eV per atom.

---

Here is crystalline LaY2TcP at its relaxed geometry from Alexandria via LeMat-Bulk. Energies are from PBEsol.

Lattice parameters (Å, degrees): 5.097 5.097 5.513 90.00 90.00 90.00
Atoms (fractional coordinates):
La 0.000 0.000 0.000
Y 0.000 0.500 0.500
Y 0.500 0.000 0.500
Tc 0.500 0.500 0.000
P 0.000 0.000 0.500

For the density of states at the Fermi level, the calculation gives 7.2 states/eV/cell. Its volume is 143 Å³ per cell. The formation enthalpy at 0 K comes out at 0.20 eV per atom.

---

Here is crystalline LaTeP4 at its relaxed geometry from Alexandria via LeMat-Bulk. Energies are from PBEsol.

Lattice parameters (Å, degrees): 5.545 5.545 5.545 60.00 60.00 60.00
Atoms (fractional coordinates):
La 0.000 0.000 0.000
Te 0.750 0.750 0.750
P 0.396 0.396 0.396
P 0.396 0.396 0.812
P 0.396 0.812 0.396
P 0.812 0.396 0.396

For the density of states at the Fermi level, the calculation gives 2.9 states/eV/cell. Its volume is 121 Å³ per cell. The value obtained for the uncorrected formation energy is -29 kJ/mol of atoms.

---

Here is crystalline LaTi3P at its relaxed geometry from Alexandria via LeMat-Bulk. Energies are from PBEsol.

Lattice parameters (Å, degrees): 4.674 4.674 4.674 90.00 90.00 90.00
Atoms (fractional coordinates):
La 0.000 0.000 0.000
Ti 0.000 0.000 0.500
Ti 0.000 0.500 0.000
Ti 0.500 0.000 0.000
P 0.500 0.500 0.500

For the density of states at the Fermi level, the calculation gives 5.7 states/eV/cell. Its volume is 102 Å³ per cell. The formation enthalpy at 0 K comes out at 1.36 eV per atom.

---

Here is crystalline LaTlP4 at its relaxed geometry from Alexandria via LeMat-Bulk. Energies are from PBEsol.

Lattice parameters (Å, degrees): 5.447 5.447 5.447 60.00 60.00 60.00
Atoms (fractional coordinates):
La 0.000 0.000 0.000
Tl 0.750 0.750 0.750
P 0.386 0.386 0.386
P 0.386 0.386 0.841
P 0.386 0.841 0.386
P 0.841 0.386 0.386

For the density of states at the Fermi level, the calculation gives 2.4 states/eV/cell. Its volume is 114 Å³ per cell. The formation enthalpy at 0 K comes out at -0.22 eV per atom.